First-principles (PBE-GGA) data for a relaxed structure of LiThPt6, as listed in Alexandria via LeMat-Bulk.

a b c (Å): 4.1377 4.1377 7.9031
angles (deg): 90.00 90.00 90.00
Fractional coordinates of all 8 atoms:
Li 0.0000 0.0000 0.0000
Th 0.0000 0.0000 0.5000
Pt 0.0000 0.5000 0.2270
Pt 0.0000 0.5000 0.7730
Pt 0.5000 0.0000 0.2270
Pt 0.5000 0.0000 0.7730
Pt 0.5000 0.5000 0.0000
Pt 0.5000 0.5000 0.5000

ΔH_f (0 K) = -0.74 eV per atom